# Ce2YHo3P6, optimized geometry, DFT PBE-GGA
# * energy of formation from the pure elements: -1.582 eV/atom
data_Ce2YHo3P6
_chemical_formula_sum 'Ce4 Y2 Ho6 P12'
_space_group_name_H-M_alt 'C 1 2/m 1'
_space_group_IT_number 12
_space_group_name_Hall '-C 2y'
_cell_length_a 6.968
_cell_length_b 12.069
_cell_length_c 6.960
_cell_angle_alpha 90.00
_cell_angle_beta 109.49
_cell_angle_gamma 90.00
loop_
_atom_site_label
_atom_site_fract_x
_atom_site_fract_y
_atom_site_fract_z
Ce1 0.000 0.167 0.000
Y1 0.000 0.500 0.000
Ho1 0.000 0.000 0.500
Ho2 0.000 0.333 0.500
P1 0.248 0.500 0.746
P2 0.249 0.167 0.747

***

# AlCoTe2, optimized geometry, DFT PBE-GGA
# * E_form (uncorrected): 0.1146 eV per atom
data_AlCoTe2
_chemical_formula_sum 'Al2 Co2 Te4'
_space_group_name_H-M_alt 'C m m 2'
_space_group_IT_number 35
_space_group_name_Hall 'C 2 -2'
_cell_length_a 4.327
_cell_length_b 4.337
_cell_length_c 9.529
_cell_angle_alpha 90.00
_cell_angle_beta 90.00
_cell_angle_gamma 90.00
loop_
_atom_site_label
_atom_site_fract_x
_atom_site_fract_y
_atom_site_fract_z
Al1 0.000 0.000 0.000
Co1 0.000 0.500 0.137
Te1 0.000 0.000 0.314
Te2 0.000 0.500 0.705

***

# Tb2ScAl3Zn6, optimized geometry, DFT PBE-GGA
# * energy of formation from the pure elements: 0.049 eV/atom
data_Tb2ScAl3Zn6
_chemical_formula_sum 'Tb2 Sc1 Al3 Zn6'
_space_group_name_H-M_alt 'P 4/m m m'
_space_group_IT_number 123
_space_group_name_Hall '-P 4 2'
_cell_length_a 3.939
_cell_length_b 3.939
_cell_length_c 17.619
_cell_angle_alpha 90.00
_cell_angle_beta 90.00
_cell_angle_gamma 90.00
loop_
_atom_site_label
_atom_site_fract_x
_atom_site_fract_y
_atom_site_fract_z
Tb1 0.000 0.000 0.212
Sc1 0.000 0.000 0.500
Al1 0.500 0.500 0.000
Al2 0.500 0.500 0.280
Zn1 0.000 0.500 0.378
Zn2 0.500 0.500 0.137

***

# FeSiW, optimized geometry, DFT PBE-GGA
# * E_form (uncorrected): -0.3085 eV per atom
# * distance to the lowest polymorph of the same formula: 0 meV/atom
data_FeSiW
_chemical_formula_sum 'Fe4 Si4 W4'
_space_group_name_H-M_alt 'F -4 3 m'
_space_group_IT_number 216
_space_group_name_Hall 'F -4 2 3'
_cell_length_a 5.552
_cell_length_b 5.552
_cell_length_c 5.552
_cell_angle_alpha 90.00
_cell_angle_beta 90.00
_cell_angle_gamma 90.00
loop_
_atom_site_label
_atom_site_fract_x
_atom_site_fract_y
_atom_site_fract_z
Fe1 0.000 0.000 0.000
Si1 0.250 0.250 0.750
W1 0.250 0.250 0.250

***

no.,spin magnetization (μB/cell)
1,1.6
2,1.5
3,0.0
4,0.0